Computed, not measured: a relaxed structure of Hg2SbSe at the GGA-PBE level of DFT.

Calculated values
- Magnetization: 0.00 Bohr magnetons per cell
- E_form (uncorrected): 0.20 eV/atom
- SG: I-4m2, No. 119
- Final energy: -1.8494 eV/atom

Unit cell a=5.2373 b=5.2373 c=5.2373 alpha=120.95 beta=120.95 gamma=88.36
Closest atoms and distances in Å follow each position.
Fractional positions:
1 Hg 0.0000 0.0000 0.0000  4 Hg 3.19, 4 Sb 3.19
2 Hg 0.7500 0.2500 0.5000  4 Hg 3.19, 4 Se 3.19
3 Sb 0.2500 0.7500 0.5000  4 Hg 3.19, 4 Se 3.19
4 Se 0.5000 0.5000 0.0000  4 Hg 3.19, 4 Sb 3.19

Computed, not measured: a relaxed structure of Ca2SnBi at the GGA-PBE level of DFT.

Calculated values
- ΔH_f (0 K): -0.397 eV per atom
- Energy above the lowest structure with this stoichiometry: 259 meV per atom
- Magnetization: 0.00 Bohr magnetons per cell
- SG: I-42d, No. 122
- Final energy: -3.3691 eV/atom

Unit cell a=7.0391 b=7.0391 c=7.0391 alpha=104.36 beta=104.36 gamma=120.27
Closest atoms and distances in Å follow each position.
Fractional positions:
1 Ca 0.1229 0.6250 0.9979  2 Bi 3.16, 2 Sn 3.19, 2 Ca 3.51
2 Ca 0.3750 0.3729 0.4979  2 Bi 3.16, 2 Sn 3.19, 2 Ca 3.51
3 Ca 0.6271 0.1250 0.0021  2 Bi 3.16, 2 Sn 3.19, 2 Ca 3.51
4 Ca 0.8750 0.8771 0.5021  2 Bi 3.16, 2 Sn 3.19, 2 Ca 3.51
5 Sn 0.2500 0.7500 0.5000  4 Ca 3.19, 2 Bi 3.51
6 Sn 0.5000 0.5000 0.0000  4 Ca 3.19, 2 Bi 3.51
7 Bi 0.0000 0.0000 0.0000  4 Ca 3.16, 2 Sn 3.51
8 Bi 0.7500 0.2500 0.5000  4 Ca 3.16, 2 Sn 3.51

Computed, not measured: a relaxed structure of Ta11Os9Ru4 at the GGA-PBE level of DFT.

Calculated values
- ΔH_f (0 K): -0.251 eV per atom
- Magnetization: 0.00 Bohr magnetons per cell
- SG: Cmmm, No. 65
- Final energy: -11.4404 eV/atom

Unit cell a=11.3819 b=11.3819 c=3.0968 alpha=90.00 beta=90.00 gamma=104.84
Closest atoms and distances in Å follow each position.
Fractional positions:
1 Ta 0.0000 0.0000 0.0000  8 Os 2.73
2 Ta 0.0655 0.4148 0.0000  2 Ru 2.70, 1 Ta 2.73, 6 Os 2.81-2.88
3 Ta 0.1809 0.8191 0.0000  8 Os 2.65-2.76
4 Ta 0.2306 0.2306 0.0000  4 Ru 2.61, 4 Os 2.76
5 Ta 0.3703 0.6297 0.0000  6 Os 2.81-2.89, 4 Ru 2.84, 2 Ta 3.10
6 Ta 0.4148 0.0655 0.0000  2 Ru 2.70, 1 Ta 2.73, 6 Os 2.81-2.88
7 Ta 0.5852 0.9345 0.0000  2 Ru 2.70, 1 Ta 2.73, 6 Os 2.81-2.88
8 Ta 0.6297 0.3703 0.0000  6 Os 2.81-2.89, 4 Ru 2.84, 2 Ta 3.10
9 Ta 0.7694 0.7694 0.0000  4 Ru 2.61, 4 Os 2.76
10 Ta 0.8191 0.1809 0.0000  8 Os 2.65-2.76
11 Ta 0.9345 0.5852 0.0000  2 Ru 2.70, 1 Ta 2.73, 6 Os 2.81-2.88
12 Os 0.0243 0.2024 0.5000  8 Ta 2.73-2.81
13 Os 0.1543 0.6251 0.5000  8 Ta 2.65-2.89, 1 Ru 2.89
14 Os 0.2024 0.0243 0.5000  8 Ta 2.73-2.81
15 Os 0.3749 0.8457 0.5000  8 Ta 2.65-2.89, 1 Ru 2.89
16 Os 0.5000 0.5000 0.5000  4 Ru 2.63, 4 Ta 2.81
17 Os 0.6251 0.1543 0.5000  8 Ta 2.65-2.89, 1 Ru 2.89
18 Os 0.7976 0.9757 0.5000  8 Ta 2.73-2.81
19 Os 0.8457 0.3749 0.5000  8 Ta 2.65-2.89, 1 Ru 2.89
20 Os 0.9757 0.7976 0.5000  8 Ta 2.73-2.81
21 Ru 0.2616 0.4209 0.5000  6 Ta 2.61-2.84, 2 Os 2.63-2.89, 1 Ru 2.88
22 Ru 0.4209 0.2616 0.5000  6 Ta 2.61-2.84, 2 Os 2.63-2.89, 1 Ru 2.88
23 Ru 0.5791 0.7384 0.5000  6 Ta 2.61-2.84, 2 Os 2.63-2.89, 1 Ru 2.88
24 Ru 0.7384 0.5791 0.5000  6 Ta 2.61-2.84, 2 Os 2.63-2.89, 1 Ru 2.88

Computed, not measured: a relaxed structure of NpPaHg2 at the GGA-PBE level of DFT.

Calculated values
- ΔH_f (0 K): 0.271 eV per atom
- Magnetization: 4.02 Bohr magnetons per cell
- SG: P4/mmm, No. 123
- Final energy: -5.4890 eV/atom

Unit cell a=5.7378 b=5.7378 c=3.0837 alpha=90.00 beta=90.00 gamma=90.00
Closest atoms and distances in Å follow each position.
Fractional positions:
1 Np 0.0000 0.0000 0.0000  2 Np 3.08, 8 Hg 3.26
2 Pa 0.5000 0.5000 0.0000  2 Pa 3.08, 8 Hg 3.26
3 Hg 0.0000 0.5000 0.5000  2 Hg 3.08, 4 Pa 3.26, 4 Np 3.26
4 Hg 0.5000 0.0000 0.5000  2 Hg 3.08, 4 Pa 3.26, 4 Np 3.26

Computed, not measured: a relaxed structure of Sm6TlP2Se3 at the GGA-PBE level of DFT.

Calculated values
- Magnetization: 0.00 Bohr magnetons per cell
- E_form (uncorrected): -1.51 eV/atom
- SG: C2/m, No. 12
- Final energy: -5.8405 eV/atom

Unit cell a=9.4161 b=9.4161 c=8.5360 alpha=103.10 beta=103.10 gamma=25.48
Closest atoms and distances in Å follow each position.
Fractional positions:
1 Sm 0.0054 0.0054 0.2647  3 Se 2.91-3.06, 1 P 2.91, 2 Tl 3.05
2 Sm 0.3280 0.3280 0.4279  3 P 2.85-2.88, 3 Se 3.06-3.07
3 Sm 0.3287 0.3287 0.8984  2 P 2.89, 3 Se 2.92-3.09, 1 Tl 3.06
4 Sm 0.6713 0.6713 0.1016  2 P 2.89, 3 Se 2.92-3.09, 1 Tl 3.06
5 Sm 0.6720 0.6720 0.5721  3 P 2.85-2.88, 3 Se 3.06-3.07
6 Sm 0.9946 0.9946 0.7353  3 Se 2.91-3.06, 1 P 2.91, 2 Tl 3.05
7 Tl 0.5000 0.5000 0.0000  6 Sm 3.05-3.06
8 P 0.1684 0.1684 0.3364  6 Sm 2.85-2.91
9 P 0.8316 0.8316 0.6636  6 Sm 2.85-2.91
10 Se 0.1655 0.1655 0.8313  6 Sm 2.92-3.09
11 Se 0.5000 0.5000 0.5000  6 Sm 2.91-3.07
12 Se 0.8345 0.8345 0.1687  6 Sm 2.92-3.09

Computed, not measured: a relaxed structure of Tb3Er6Sc at the GGA-PBE level of DFT.

Calculated values
- ΔH_f (0 K): 0.145 eV per atom
- Energy above the lowest structure with this stoichiometry: 0 meV per atom
- Magnetization: 0.00 Bohr magnetons per cell
- SG: Cmc2_1, No. 36
- Final energy: -4.6151 eV/atom

Unit cell a=10.8081 b=10.8081 c=6.1174 alpha=90.00 beta=90.00 gamma=119.91
Closest atoms and distances in Å follow each position.
Fractional positions:
1 Tb 0.1109 0.8891 0.5000  5 Er 3.33-3.59, 1 Sc 3.43, 2 Tb 3.67
2 Tb 0.2225 0.4445 0.1127  1 Sc 3.21, 6 Er 3.24-3.58
3 Tb 0.4445 0.2225 0.6127  1 Sc 3.21, 6 Er 3.24-3.58
4 Tb 0.5555 0.7775 0.1127  1 Sc 3.21, 6 Er 3.24-3.58
5 Tb 0.7775 0.5555 0.6127  1 Sc 3.21, 6 Er 3.24-3.58
6 Tb 0.8891 0.1109 0.0000  5 Er 3.33-3.59, 1 Sc 3.43, 2 Tb 3.67
7 Er 0.0380 0.4586 0.7051  5 Er 3.17-3.40, 2 Sc 3.20-3.39, 2 Tb 3.24-3.50
8 Er 0.1179 0.2111 0.5296  4 Tb 3.36-3.59, 6 Er 3.37-3.75
9 Er 0.2111 0.1179 0.0296  4 Tb 3.36-3.59, 6 Er 3.37-3.75
10 Er 0.2199 0.7801 0.9308  4 Er 3.17-3.32, 1 Tb 3.33, 2 Sc 3.35
11 Er 0.4510 0.5490 0.6442  1 Sc 3.24, 4 Tb 3.50-3.58, 2 Er 3.57
12 Er 0.4586 0.0380 0.2051  5 Er 3.17-3.40, 2 Sc 3.20-3.39, 2 Tb 3.24-3.50
13 Er 0.5414 0.9620 0.7051  5 Er 3.17-3.40, 2 Sc 3.20-3.39, 2 Tb 3.24-3.50
14 Er 0.5490 0.4510 0.1442  1 Sc 3.24, 4 Tb 3.50-3.58, 2 Er 3.57
15 Er 0.7801 0.2199 0.4308  4 Er 3.17-3.32, 1 Tb 3.33, 2 Sc 3.35
16 Er 0.7889 0.8821 0.5296  4 Tb 3.36-3.59, 6 Er 3.37-3.75
17 Er 0.8821 0.7889 0.0296  4 Tb 3.36-3.59, 6 Er 3.37-3.75
18 Er 0.9620 0.5414 0.2051  5 Er 3.17-3.40, 2 Sc 3.20-3.39, 2 Tb 3.24-3.50
19 Sc 0.2926 0.7074 0.4309  7 Er 3.20-3.39, 3 Tb 3.21-3.43
20 Sc 0.7074 0.2926 0.9309  7 Er 3.20-3.39, 3 Tb 3.21-3.43

Computed, not measured: a relaxed structure of InGaP2Cl at the GGA-PBE level of DFT.

Calculated values
- Energy above the lowest structure with this stoichiometry: 0 meV per atom
- Magnetization: 0.90 Bohr magnetons per cell
- E_form (uncorrected): 0.33 eV/atom
- SG: P4/mmm, No. 123
- Final energy: -3.3551 eV/atom

Unit cell a=4.8196 b=4.8196 c=5.2923 alpha=90.00 beta=90.00 gamma=90.00
Closest atoms and distances in Å follow each position.
Fractional positions:
1 In 0.0000 0.0000 0.0000  4 Cl 3.41, 8 P 3.58
2 Ga 0.5000 0.5000 0.5000  4 P 2.41, 2 Cl 2.65
3 P 0.0000 0.5000 0.5000  2 Ga 2.41
4 P 0.5000 0.0000 0.5000  2 Ga 2.41
5 Cl 0.5000 0.5000 0.0000  2 Ga 2.65

Computed, not measured: a relaxed structure of AcZnCd4 at the GGA-PBE level of DFT.

Calculated values
- ΔH_f (0 K): -0.205 eV per atom
- Energy above the lowest structure with this stoichiometry: 13 meV per atom
- Magnetization: 0.00 Bohr magnetons per cell
- SG: Pmma, No. 51
- Final energy: -1.7123 eV/atom

Unit cell a=8.1666 b=4.5820 c=7.9641 alpha=90.00 beta=90.00 gamma=90.00
Closest atoms and distances in Å follow each position.
Fractional positions:
1 Ac 0.2500 0.0000 0.1212  1 Zn 3.19, 6 Cd 3.41-3.47
2 Ac 0.7500 0.0000 0.8788  1 Zn 3.19, 6 Cd 3.41-3.47
3 Zn 0.2500 0.0000 0.7210  6 Cd 2.70-2.85
4 Zn 0.7500 0.0000 0.2790  6 Cd 2.70-2.85
5 Cd 0.0000 0.0000 0.5000  2 Zn 2.70
6 Cd 0.0613 0.5000 0.8092  2 Zn 2.85, 1 Cd 3.08
7 Cd 0.2500 0.5000 0.4389  8 Cd 3.11-3.33, 2 Zn 3.21, 2 Ac 3.41
8 Cd 0.4387 0.5000 0.8092  2 Zn 2.85, 1 Cd 3.08
9 Cd 0.5000 0.0000 0.5000  2 Zn 2.70
10 Cd 0.5613 0.5000 0.1908  2 Zn 2.85, 1 Cd 3.08
11 Cd 0.7500 0.5000 0.5611  8 Cd 3.11-3.33, 2 Zn 3.21, 2 Ac 3.41
12 Cd 0.9387 0.5000 0.1908  2 Zn 2.85, 1 Cd 3.08

Question: final energy of number 8 (AcZnCd4)?
Answer: -1.7123 eV/atom

Question: magnetization of number 2 (Ca2SnBi)?
Answer: 0.00 Bohr magnetons per cell